(1)
Cs2RbN: optimized geometry, PBE-GGA.

Summary:
* Fermi-level density of states: 0.4 states/eV/cell
* E: -1.8499 eV/atom
* symmetry: Fm-3m, No. 225
* calculated volume: 33.8 A^3/atom
* excess energy over the best structure of this formula in the dataset: 203 meV per atom
* formation energy without anion corrections: 0.90 eV/atom

a b c (Å): 5.7617 5.7617 5.7617
angles (deg): 60.00 60.00 60.00
With the nearest neighbours (Å) after each atom.
Fractional coordinates of all 4 atoms:
Rb 0.5000 0.5000 0.5000  8 Cs 3.53
Cs 0.2500 0.2500 0.2500  4 Rb 3.53, 4 N 3.53
Cs 0.7500 0.7500 0.7500  4 N 3.53, 4 Rb 3.53
N 0.0000 0.0000 0.0000  8 Cs 3.53

***

(2)
CsRb3N8: optimized geometry, PBE-GGA.

Summary:
* Fermi-level density of states: 8.4 states/eV/cell
* E: -5.9263 eV/atom
* symmetry: Cm, No. 8
* calculated volume: 25.6 A^3/atom
* formation energy without anion corrections: -0.06 eV/atom

a b c (Å): 7.3872 7.3798 7.3565
angles (deg): 68.32 75.06 111.84
With the nearest neighbours (Å) after each atom.
Fractional coordinates of all 12 atoms:
Rb 0.7474 0.4996 0.7532  8 N 2.99-3.00
Rb 0.5000 0.0000 0.4996  8 N 3.06-3.16
Rb 0.2478 0.5004 0.2528  8 N 2.99-3.00
N 0.0782 0.0000 0.5223  1 N 1.18
N 0.9228 0.3968 0.0780  1 N 1.18
N 0.5260 0.6032 0.4748  1 N 1.18
N 0.4745 0.0000 0.9217  1 N 1.18
N 0.9140 0.0000 0.5446  1 N 1.18
N 0.5484 0.4614 0.4519  1 N 1.18
N 0.4526 0.0000 0.0866  1 N 1.18
N 0.0870 0.5386 0.9133  1 N 1.18
Cs 0.0014 0.0000 0.0014  8 N 3.39-3.58

***

(3)
Cs3RbN: optimized geometry, PBE-GGA.

Summary:
* Fermi-level density of states: 5.4 states/eV/cell
* E: -1.8691 eV/atom
* symmetry: Pm-3m, No. 221
* calculated volume: 58.7 A^3/atom
* formation energy without anion corrections: 0.50 eV/atom

a b c (Å): 6.6453 6.6453 6.6453
angles (deg): 90.00 90.00 90.00
With the nearest neighbours (Å) after each atom.
Fractional coordinates of all 5 atoms:
Rb 0.5000 0.5000 0.5000  12 Cs 4.70
Cs 0.5000 0.0000 0.0000  2 N 3.32
Cs 0.0000 0.5000 0.0000  2 N 3.32
Cs 0.0000 0.0000 0.5000  2 N 3.32
N 0.0000 0.0000 0.0000  6 Cs 3.32

***

(4)
CsRb2RhN: optimized geometry, PBE-GGA.

Summary:
* Fermi-level density of states: 4.3 states/eV/cell
* E: -2.2046 eV/atom
* symmetry: P4/mmm, No. 123
* calculated volume: 54.3 A^3/atom
* formation energy without anion corrections: 1.49 eV/atom

a b c (Å): 7.2867 7.2867 5.1141
angles (deg): 90.00 90.00 90.00
With the nearest neighbours (Å) after each atom.
Fractional coordinates of all 5 atoms:
Cs 0.0000 0.0000 0.0000  2 Rh 2.56
N 0.5000 0.5000 0.5000  8 Rb 4.45
Rb 0.5000 0.0000 0.0000  2 Cs 3.64
Rb 0.0000 0.5000 0.0000  2 Cs 3.64
Rh 0.0000 0.0000 0.5000  2 Cs 2.56

***

(5)
CsRbSeN: optimized geometry, PBE-GGA.

Summary:
* Fermi-level density of states: 4.0 states/eV/cell
* E: -3.4639 eV/atom
* symmetry: Cm, No. 8
* calculated volume: 34.7 A^3/atom
* excess energy over the best structure of this formula in the dataset: 37 meV per atom
* formation energy without anion corrections: -0.06 eV/atom

a b c (Å): 5.8598 4.5061 10.9076
angles (deg): 90.00 105.44 90.00
With the nearest neighbours (Å) after each atom.
Fractional coordinates of all 8 atoms:
N 0.7708 0.0000 0.0001  1 Se 1.84
N 0.7708 0.5000 0.5001  1 Se 1.84
Se 0.4443 0.5000 0.4568  1 N 1.84
Se 0.4443 0.0000 0.9568  1 N 1.84
Rb 0.1029 0.0000 0.5952  2 N 2.98
Rb 0.1029 0.5000 0.0952  2 N 2.98
Cs 0.7020 0.5000 0.7833  3 N 3.21-3.22, 3 Se 3.48-3.53, 1 Rb 3.58
Cs 0.7020 0.0000 0.2833  3 N 3.21-3.22, 3 Se 3.48-3.53, 1 Rb 3.58

***

(6)
CsRbSeN: optimized geometry, PBE-GGA.

Summary:
* Fermi-level density of states: 5.0 states/eV/cell
* E: -3.5008 eV/atom
* symmetry: Cm, No. 8
* calculated volume: 39.3 A^3/atom
* excess energy over the best structure of this formula in the dataset: 0 meV per atom
* formation energy without anion corrections: -0.09 eV/atom

a b c (Å): 6.7498 5.6371 9.4859
angles (deg): 90.00 119.48 90.00
With the nearest neighbours (Å) after each atom.
Fractional coordinates of all 8 atoms:
Se 0.6633 0.0000 0.4403  1 N 1.84
Se 0.6633 0.5000 0.9403  1 N 1.84
N 0.9752 0.0000 0.5311  1 Se 1.84
N 0.9752 0.5000 0.0311  1 Se 1.84
Cs 0.9773 0.5000 0.6966  3 N 3.18-3.22
Cs 0.9773 0.0000 0.1966  3 N 3.18-3.22
Rb 0.4448 0.5000 0.1977  1 N 2.76
Rb 0.4448 0.0000 0.6977  1 N 2.76

***

(7)
CsRbSeN: optimized geometry, PBE-GGA.

Summary:
* Fermi-level density of states: 5.1 states/eV/cell
* E: -3.4854 eV/atom
* symmetry: I4mm, No. 107
* calculated volume: 33.2 A^3/atom
* excess energy over the best structure of this formula in the dataset: 15 meV per atom
* formation energy without anion corrections: -0.08 eV/atom

a b c (Å): 4.5994 4.5994 12.5553
angles (deg): 90.00 90.00 90.00
With the nearest neighbours (Å) after each atom.
Fractional coordinates of all 8 atoms:
N 0.5000 0.5000 0.9432  1 Se 1.83
N 0.0000 0.0000 0.4432  1 Se 1.83
Cs 0.5000 0.5000 0.4377  4 N 3.25, 1 Rb 3.60
Cs 0.0000 0.0000 0.9377  4 N 3.25, 1 Rb 3.60
Se 0.0000 0.0000 0.5893  1 N 1.83
Se 0.5000 0.5000 0.0893  1 N 1.83
Rb 0.5000 0.5000 0.7244  1 N 2.75
Rb 0.0000 0.0000 0.2244  1 N 2.75

***

(8)
CsRbSeN: optimized geometry, PBE-GGA.

Summary:
* Fermi-level density of states: 6.8 states/eV/cell
* E: -3.4607 eV/atom
* symmetry: Cm, No. 8
* calculated volume: 38.2 A^3/atom
* excess energy over the best structure of this formula in the dataset: 40 meV per atom
* formation energy without anion corrections: -0.05 eV/atom

a b c (Å): 4.8478 5.0127 12.8830
angles (deg): 90.00 102.72 90.00
With the nearest neighbours (Å) after each atom.
Fractional coordinates of all 8 atoms:
N 0.6685 0.0000 0.6618  1 Se 1.85
N 0.6685 0.5000 0.1618  1 Se 1.85
Se 0.3752 0.5000 0.0422  1 N 1.85
Se 0.3752 0.0000 0.5422  1 N 1.85
Rb 0.8513 0.0000 0.0755  2 N 2.96
Rb 0.8513 0.5000 0.5755  2 N 2.96
Cs 0.2393 0.0000 0.8013  2 N 2.95-3.03
Cs 0.2393 0.5000 0.3013  2 N 2.95-3.03

***

(9)
CsRbSeN: optimized geometry, PBE-GGA.

Summary:
* Fermi-level density of states: 6.0 states/eV/cell
* E: -3.4707 eV/atom
* symmetry: Amm2, No. 38
* calculated volume: 31.6 A^3/atom
* excess energy over the best structure of this formula in the dataset: 30 meV per atom
* formation energy without anion corrections: -0.06 eV/atom

a b c (Å): 3.9485 4.8779 13.1175
angles (deg): 90.00 90.00 90.00
With the nearest neighbours (Å) after each atom.
Fractional coordinates of all 8 atoms:
N 0.0000 0.5000 0.1728  1 Se 1.83
N 0.0000 0.0000 0.6728  1 Se 1.83
Cs 0.5000 0.0000 0.8533  2 N 3.08
Cs 0.5000 0.5000 0.3533  2 N 3.08
Rb 0.5000 0.0000 0.1346  4 N 3.18, 4 Se 3.41
Rb 0.5000 0.5000 0.6346  4 N 3.18, 4 Se 3.41
Se 0.0000 0.0000 0.5335  1 N 1.83
Se 0.0000 0.5000 0.0335  1 N 1.83

***

(10)
CsRbSeN: optimized geometry, PBE-GGA.

Summary:
* Fermi-level density of states: 5.1 states/eV/cell
* E: -3.4511 eV/atom
* symmetry: Cm, No. 8
* calculated volume: 34.5 A^3/atom
* excess energy over the best structure of this formula in the dataset: 50 meV per atom
* formation energy without anion corrections: -0.04 eV/atom

a b c (Å): 5.9051 6.4402 8.0164
angles (deg): 90.00 115.23 90.00
With the nearest neighbours (Å) after each atom.
Fractional coordinates of all 8 atoms:
N 0.2472 0.0000 0.0112  1 Se 1.85
N 0.2472 0.5000 0.5112  1 Se 1.85
Se 0.4288 0.0000 0.2652  1 N 1.85
Se 0.4288 0.5000 0.7652  1 N 1.85
Rb 0.7393 0.5000 0.5063  2 N 2.92-2.98
Rb 0.7393 0.0000 0.0063  2 N 2.92-2.98
Cs 0.1413 0.5000 0.1035  3 N 3.05-3.42
Cs 0.1413 0.0000 0.6035  3 N 3.05-3.42

***

(11)
CsRb2SeN: optimized geometry, PBE-GGA.

Summary:
* Fermi-level density of states: 3.1 states/eV/cell
* E: -2.6332 eV/atom
* symmetry: P4/mmm, No. 123
* calculated volume: 33.4 A^3/atom
* formation energy without anion corrections: 0.29 eV/atom

a b c (Å): 5.6030 5.3126 5.6030
angles (deg): 90.00 90.00 90.00
With the nearest neighbours (Å) after each atom.
Fractional coordinates of all 5 atoms:
Rb 0.5000 0.0000 0.0000  2 N 2.80
Rb 0.0000 0.0000 0.5000  2 N 2.80
N 0.0000 0.0000 0.0000  2 Se 2.66, 4 Rb 2.80
Cs 0.5000 0.5000 0.5000  8 Rb 3.86, 4 Se 3.96
Se 0.0000 0.5000 0.0000  2 N 2.66

***

(12)
CsRbSeN: optimized geometry, PBE-GGA.

Summary:
* Fermi-level density of states: 2.3 states/eV/cell
* E: -3.4065 eV/atom
* symmetry: Pmm2, No. 25
* calculated volume: 44.2 A^3/atom
* excess energy over the best structure of this formula in the dataset: 94 meV per atom
* formation energy without anion corrections: 0.00 eV/atom

a b c (Å): 4.9381 6.2589 5.7173
angles (deg): 90.00 90.00 90.00
With the nearest neighbours (Å) after each atom.
Fractional coordinates of all 4 atoms:
Cs 0.0000 0.5000 0.8315  2 N 3.15, 2 Se 3.45
Rb 0.5000 0.0000 0.5099  2 N 2.87
Se 0.0000 0.0000 0.0865  1 N 1.83
N 0.0000 0.0000 0.7670  1 Se 1.83

***

- Among the records above, which one has the highest calculated volume?
  Cs3RbN

***

- Which of these has the lowest formation energy without anion corrections?
  number 6

***

- The lowest Fermi-level density of states belongs to which entry?
  Cs2RbN

***

- Which value of formation energy without anion corrections does entry 10 give?
  -0.04 eV/atom